No. 1
Computed, not measured: a relaxed structure of BeCd4P at the PBE level of DFT.

## Properties
energy of formation: 4.08 eV/f.u.
crystal system: cubic

a b c (Å): 5.6433 5.6433 5.6433
angles (deg): 60.00 60.00 60.00
Closest atoms and distances in Å follow each position.
Positions (direct):
Be: 0.0000 0.0000 0.0000  12 Cd 3.31, 4 P 3.46
Cd: 0.1249 0.6250 0.6250  6 Cd 2.82
Cd: 0.6250 0.1249 0.6250  6 Cd 2.82
Cd: 0.6250 0.6250 0.1249  6 Cd 2.82
Cd: 0.6250 0.6250 0.6250  6 Cd 2.82
P: 0.2500 0.2500 0.2500  12 Cd 3.31, 4 Be 3.46


No. 2
Computed, not measured: a relaxed structure of MgTiH at the PBE level of DFT.

## Properties
ΔE to the lowest computed polymorph: 62 meV/atom
crystal system: trigonal

a b c (Å): 3.0717 3.0717 5.0081
angles (deg): 90.00 90.00 120.00
Closest atoms and distances in Å follow each position.
Positions (direct):
Mg: 0.0000 0.0000 0.0000  3 H 2.60
Ti: 0.6667 0.3333 0.4904  3 H 1.89
H: 0.3333 0.6667 0.6209  3 Ti 1.89


No. 3
Computed, not measured: a relaxed structure of NaCaPd2 at the PBE level of DFT.

## Properties
energy of formation: -1.36 eV/f.u.
crystal system: tetragonal

a b c (Å): 3.5504 3.5504 6.4414
angles (deg): 90.00 90.00 90.00
Closest atoms and distances in Å follow each position.
Positions (direct):
Na: 0.0000 0.0000 0.0000  8 Pd 2.97, 2 Ca 3.22
Ca: 0.0000 0.0000 0.5000  8 Pd 3.00, 2 Na 3.22
Pd: 0.5000 0.5000 0.2460  4 Na 2.97, 4 Ca 3.00, 2 Pd 3.17-3.27
Pd: 0.5000 0.5000 0.7540  4 Na 2.97, 4 Ca 3.00, 2 Pd 3.17-3.27


No. 4
Computed, not measured: a relaxed structure of Zn2AgSb at the PBE level of DFT.

## Properties
electronic total energy: -2.193 eV/atom
crystal system: orthorhombic

a b c (Å): 3.3163 5.2759 9.1509
angles (deg): 90.00 90.00 90.00
Closest atoms and distances in Å follow each position.
Positions (direct):
Zn: 0.0000 0.0000 0.2367  2 Ag 2.73, 2 Sb 2.92
Zn: 0.0000 0.0000 0.7633  2 Ag 2.73, 2 Sb 2.92
Zn: 0.5000 0.5000 0.2633  2 Ag 2.73, 2 Sb 2.92
Zn: 0.5000 0.5000 0.7367  2 Ag 2.73, 2 Sb 2.92
Ag: 0.0000 0.5000 0.5000  4 Zn 2.73
Ag: 0.5000 0.0000 0.0000  4 Zn 2.73
Sb: 0.0000 0.5000 0.0000  4 Zn 2.92, 4 Ag 3.12
Sb: 0.5000 0.0000 0.5000  4 Zn 2.92, 4 Ag 3.12